[1]
## Ni2AgTe (PBE-GGA)

Data for crystalline Ni2AgTe at its relaxed geometry.

Cell lengths 3.248, 3.248, 6.410 Å; angles 90.00, 90.00, 90.00 degrees
Fractional coordinates of all 4 atoms:
Ni 0.000 0.000 0.000
Ni 0.500 0.500 0.191
Ag 0.500 0.500 0.773
Te 0.000 0.000 0.390

Summary:
**DFT total energy**: -4.194 eV/atom
**Formation energy without anion corrections**: 195 meV per atom

---

[2]
## Li4LaAu (PBE-GGA)

Data for crystalline Li4LaAu at its relaxed geometry.

Cell lengths 5.441, 5.441, 5.441 Å; angles 60.00, 60.00, 60.00 degrees
Fractional coordinates of all 6 atoms:
Li 0.122 0.122 0.122
Li 0.122 0.122 0.635
Li 0.122 0.635 0.122
Li 0.635 0.122 0.122
La 0.500 0.500 0.500
Au 0.750 0.750 0.750

Summary:
**DFT total energy**: -2.820 eV/atom
**Formation energy**: -0.18 eV per atom

---

[3]
## PaTaPt (PBE-GGA)

Data for crystalline PaTaPt at its relaxed geometry.

Cell lengths 4.464, 4.464, 3.868 Å; angles 90.00, 90.00, 120.00 degrees
Fractional coordinates of all 3 atoms:
Pa 0.000 0.000 0.000
Ta 0.333 0.667 0.500
Pt 0.667 0.333 0.500

Summary:
**DFT total energy**: -9.284 eV/atom
**Formation energy**: -0.15 eV per atom

---

[4]
## Rb2AlSn7 (PBE-GGA)

Data for crystalline Rb2AlSn7 at its relaxed geometry.

Cell lengths 5.283, 5.283, 12.047 Å; angles 90.00, 90.00, 90.00 degrees
Fractional coordinates of all 10 atoms:
Rb 0.000 0.500 0.246
Rb 0.500 0.000 0.754
Al 0.500 0.500 0.000
Sn 0.000 0.000 0.000
Sn 0.000 0.000 0.500
Sn 0.000 0.500 0.629
Sn 0.000 0.500 0.886
Sn 0.500 0.000 0.114
Sn 0.500 0.000 0.371
Sn 0.500 0.500 0.500

Summary:
**DFT total energy**: -3.460 eV/atom
**Formation energy**: -0.09 eV per atom